1:
Here is CsBC3 after structural relaxation from the Alexandria database. Energies are from PBE.

Unit cell a=3.854 b=3.854 c=3.854 alpha=90.00 beta=90.00 gamma=90.00
Sites, in units of the cell vectors:
C 0.000 0.000 0.500
C 0.000 0.500 0.000
B 0.000 0.000 0.000
C 0.500 0.000 0.000
Cs 0.500 0.500 0.500

- SG: Pm-3m (221)

***

2:
Here is CsBC3 after structural relaxation from the Alexandria database. Energies are from PBE.

Unit cell a=4.681 b=4.681 c=4.681 alpha=90.00 beta=90.00 gamma=90.00
Sites, in units of the cell vectors:
B 0.500 0.500 0.500
C 0.000 0.500 0.000
C 0.000 0.000 0.500
C 0.500 0.000 0.000
Cs 0.000 0.000 0.000

- SG: Pm-3m (221)

***

Which structure is most stable? 1, by 192.8 kJ/mol of atoms over the runner-up.

***

1:
Here is CuB3C after structural relaxation from the Alexandria database. Energies are from PBE.

Unit cell a=3.426 b=3.426 c=3.426 alpha=90.00 beta=90.00 gamma=90.00
Sites, in units of the cell vectors:
B 0.500 0.000 0.000
B 0.000 0.500 0.000
Cu 0.500 0.500 0.500
B 0.000 0.000 0.500
C 0.000 0.000 0.000

- SG: Pm-3m (221)

***

2:
Here is CuB3C after structural relaxation from the Alexandria database. Energies are from PBE.

Unit cell a=3.770 b=3.770 c=3.770 alpha=90.00 beta=90.00 gamma=90.00
Sites, in units of the cell vectors:
B 0.500 0.000 0.000
Cu 0.000 0.000 0.000
C 0.500 0.500 0.500
B 0.000 0.000 0.500
B 0.000 0.500 0.000

- SG: Pm-3m (221)

***

Which structure is most stable? 1, by 91.6 kJ/mol of atoms over the runner-up.

***

1:
Here is HfCuBC2 after structural relaxation from the Alexandria database. Energies are from PBE.

Unit cell a=4.196 b=5.190 c=4.196 alpha=90.00 beta=90.00 gamma=90.00
Sites, in units of the cell vectors:
C 0.500 0.000 0.000
B 0.500 0.500 0.500
C 0.000 0.000 0.500
Cu 0.000 0.500 0.000
Hf 0.000 0.000 0.000

- SG: P4/mmm (123)

***

2:
Here is HfCuBC2 after structural relaxation from the Alexandria database. Energies are from PBE.

Unit cell a=3.548 b=4.366 c=3.548 alpha=90.00 beta=90.00 gamma=90.00
Sites, in units of the cell vectors:
B 0.000 0.000 0.000
Cu 0.500 0.500 0.500
C 0.500 0.000 0.000
C 0.000 0.000 0.500
Hf 0.000 0.500 0.000

- SG: P4/mmm (123)

***

Which structure is most stable? 2, by 101.9 kJ/mol of atoms over the runner-up.

***

1:
Here is BC2F after structural relaxation from the Alexandria database. Energies are from PBE.

Unit cell a=3.484 b=3.484 c=3.484 alpha=60.00 beta=60.00 gamma=60.00
Sites, in units of the cell vectors:
C 0.250 0.250 0.250
C 0.750 0.750 0.750
F 0.500 0.500 0.500
B 0.000 0.000 0.000

- SG: Fm-3m (225)

***

2:
Here is BC2F after structural relaxation from the Alexandria database. Energies are from PBE.

Unit cell a=3.997 b=3.997 c=5.274 alpha=67.74 beta=67.74 gamma=90.00
Sites, in units of the cell vectors:
C 0.274 0.625 0.250
C 0.875 0.726 0.750
F 0.000 0.000 0.000
F 0.750 0.250 0.500
C 0.375 0.524 0.750
B 0.500 0.500 0.000
C 0.476 0.125 0.250
B 0.250 0.750 0.500

- SG: I-42d (122)

***

Which structure is most stable? 2, by 153.7 kJ/mol of atoms over the runner-up.

***

1:
Here is BCF3 after structural relaxation from the Alexandria database. Energies are from PBE.

Unit cell a=3.806 b=3.806 c=3.806 alpha=90.00 beta=90.00 gamma=90.00
Sites, in units of the cell vectors:
B 0.500 0.500 0.500
F 0.500 0.000 0.000
C 0.000 0.000 0.000
F 0.000 0.000 0.500
F 0.000 0.500 0.000

- SG: Pm-3m (221)

***

2:
Here is BCF3 after structural relaxation from the Alexandria database. Energies are from PBE.

Unit cell a=3.518 b=3.518 c=3.518 alpha=90.00 beta=90.00 gamma=90.00
Each line ends with the local moment (μB).
Sites, in units of the cell vectors:
C 0.500 0.500 0.500  0.91
F 0.000 0.000 0.500  0.06
F 0.000 0.500 0.000  0.02
F 0.500 0.000 0.000  0.01
B 0.000 0.000 0.000  -0.03

- SG: Pm-3m (221)

***

Which structure is most stable? 2, by 29.0 kJ/mol of atoms over the runner-up.